Entry 1:
VASP calculation (PBE) on LaNdBiAs after structural relaxation.

The structure in extended XYZ format:
```
4
Lattice="4.466 0.000 0.000 2.233 3.868 0.000 2.233 1.289 7.401" Properties=species:S:1:pos:R:3 pbc="T T T"
La 2.233 1.289 1.692
Nd 6.699 3.868 5.703
Bi 4.466 2.578 3.733
As 2.233 1.289 7.375
```

Results
Its space-group type is R3m (160). As for the density: 7.37 Mg/m³. As for the volume: 127.83 Å³/cell.

Entry 2:
VASP calculation (PBE) on Pm2MgCd after structural relaxation.

The structure in extended XYZ format:
```
4
Lattice="-0.578 4.641 2.767 -2.294 -0.041 4.925 3.028 0.926 4.416" Properties=species:S:1:pos:R:3 pbc="T T T"
Mg 0.000 0.000 0.000
Cd 0.078 2.763 6.054
Pm 0.039 1.381 3.027
Pm 0.117 4.144 9.081
```

Results
Its space-group type is Fm-3m (225). As for the density: 6.25 Mg/m³. As for the volume: 113.44 Å³/cell.

Taking the records one at a time from the top gives ΔE_f values of -5.009; -0.844 eV per formula unit.